1.
Computed, not measured: an optimized crystal structure of Ti2TePb at the GGA-PBE level of DFT.

```
Ti2TePb
1.0
-3.659 -3.165 -0.789
-4.239 1.576 -1.893
-1.241 -1.219 -4.583
Pb Te Ti
1 1 2
direct
0.500 0.500 0.500
0.000 0.000 0.000
0.250 0.250 0.250
0.750 0.750 0.750
```

total magnetization = 0.323 μB/atom
energy relative to the lowest polymorph listed for this composition = 0 meV per atom
space group = Fm-3m (225)

2.
Computed, not measured: an optimized crystal structure of Ti2Te2Pb at the GGA-PBE level of DFT.

```
Ti2Te2Pb
1.0
7.932 0.000 0.000
0.000 7.932 0.000
0.000 0.000 3.566
Pb Te Ti
2 4 4
direct
0.000 0.000 0.000
0.500 0.500 0.000
0.146 0.646 0.500
0.646 0.854 0.500
0.854 0.354 0.500
0.354 0.146 0.500
0.359 0.859 0.000
0.859 0.641 0.000
0.641 0.141 0.000
0.141 0.359 0.000
```

total magnetization = 0.000 μB/atom
energy relative to the lowest polymorph listed for this composition = 0 meV per atom
space group = P4/mbm (127)

3.
Computed, not measured: an optimized crystal structure of TiTl2TePb at the GGA-PBE level of DFT.

```
TiTl2TePb
1.0
-5.156 -2.743 0.563
0.837 -0.457 5.438
-2.655 5.164 0.842
Pb Tl Te Ti
1 2 1 1
direct
0.000 0.000 0.000
0.000 0.000 0.500
0.500 0.000 0.000
0.500 0.500 0.500
0.000 0.500 0.000
```

total magnetization = 0.399 μB/atom
space group = P4/mmm (123)

4.
Computed, not measured: an optimized crystal structure of Tl2TePb2 at the GGA-PBE level of DFT.

```
Tl2TePb2
1.0
4.408 0.000 0.000
0.000 4.408 0.000
2.204 2.204 8.875
Pb Tl Te
2 2 1
direct
0.750 0.250 0.500
0.250 0.750 0.500
0.409 0.409 0.181
0.591 0.591 0.819
0.000 0.000 0.000
```

total magnetization = 0.000 μB/atom
energy relative to the lowest polymorph listed for this composition = 83 meV per atom
space group = I4/mmm (139)

5.
Computed, not measured: an optimized crystal structure of Tl6Te5Pb at the GGA-PBE level of DFT.

```
Tl6Te5Pb
1.0
8.336 0.735 -0.714
-1.099 6.988 -0.901
0.190 0.170 7.127
Pb Tl Te
1 6 5
direct
0.000 0.000 0.000
0.731 0.900 0.549
0.269 0.451 0.100
0.202 0.694 0.694
0.798 0.306 0.306
0.731 0.549 0.900
0.269 0.100 0.451
0.500 0.868 0.132
0.000 0.702 0.298
0.500 0.500 0.500
0.000 0.298 0.702
0.500 0.132 0.868
```

total magnetization = 0.000 μB/atom
space group = C2/m (12)

6.
Computed, not measured: an optimized crystal structure of TlTePb at the GGA-PBE level of DFT.

```
TlTePb
1.0
6.524 -0.017 0.019
5.260 3.860 0.022
1.264 0.410 3.855
Pb Te Tl
1 1 1
direct
0.980 0.980 0.020
0.348 0.348 0.652
0.672 0.672 0.328
```

total magnetization = 0.000 μB/atom
energy relative to the lowest polymorph listed for this composition = 0 meV per atom
space group = I4mm (107)

7.
Computed, not measured: an optimized crystal structure of Tl5Te4Pb at the GGA-PBE level of DFT.

```
Tl5Te4Pb
1.0
-3.222 3.420 0.933
-3.984 -5.252 5.498
7.659 2.680 4.326
Tl Te Pb
5 4 1
direct
0.305 0.147 0.611
0.143 0.447 0.286
0.857 0.553 0.714
0.500 0.500 0.000
0.695 0.853 0.389
0.683 0.238 0.367
0.055 0.792 0.110
0.317 0.762 0.633
0.945 0.208 0.890
0.500 0.000 0.000
```

total magnetization = 0.000 μB/atom
energy relative to the lowest polymorph listed for this composition = 12 meV per atom
space group = C2/m (12)

8.
Computed, not measured: an optimized crystal structure of TlTe4Pb at the GGA-PBE level of DFT.

```
TlTe4Pb
1.0
0.009 -6.281 1.639
2.919 -1.922 5.470
-3.556 -2.047 5.029
Tl Te Pb
1 4 1
direct
0.750 0.750 0.750
0.375 0.875 0.375
0.875 0.375 0.375
0.375 0.375 0.875
0.375 0.375 0.375
0.000 0.000 0.000
```

total magnetization = 0.000 μB/atom
space group = F-43m (216)

9.
Computed, not measured: an optimized crystal structure of Tl2Te2Pb at the GGA-PBE level of DFT.

```
Tl2Te2Pb
1.0
-7.984 3.179 1.571
0.741 -2.291 8.398
1.722 3.877 0.906
Pb Tl Te
2 4 4
direct
0.000 0.000 0.000
0.500 0.500 0.000
0.376 0.876 0.000
0.876 0.624 0.000
0.624 0.124 0.000
0.124 0.376 0.000
0.189 0.689 0.500
0.689 0.811 0.500
0.811 0.311 0.500
0.311 0.189 0.500
```

total magnetization = 0.000 μB/atom
energy relative to the lowest polymorph listed for this composition = 299 meV per atom
space group = P4/mbm (127)

10.
Computed, not measured: an optimized crystal structure of TlTePb at the GGA-PBE level of DFT.

```
TlTePb
1.0
5.579 0.000 0.000
-2.790 4.832 0.000
0.000 0.000 3.613
Pb Te Tl
1 1 1
direct
0.000 0.000 0.172
0.667 0.333 0.160
0.333 0.667 0.668
```

total magnetization = 0.000 μB/atom
energy relative to the lowest polymorph listed for this composition = 66 meV per atom
space group = P3m1 (156)

11.
Computed, not measured: an optimized crystal structure of Tl2Te2Pb at the GGA-PBE level of DFT.

```
Tl2Te2Pb
1.0
4.632 0.000 -0.841
-0.462 7.679 -2.543
-0.331 -1.618 11.355
Tl Te Pb
4 4 2
direct
0.931 0.142 0.863
0.069 0.858 0.137
0.569 0.357 0.138
0.431 0.643 0.862
0.842 0.700 0.684
0.158 0.300 0.316
0.657 0.800 0.314
0.343 0.200 0.686
0.750 0.250 0.501
0.250 0.750 0.499
```

total magnetization = 0.000 μB/atom
energy relative to the lowest polymorph listed for this composition = 0 meV per atom
space group = C2/m (12)

12.
Computed, not measured: an optimized crystal structure of TlTe3Pb2 at the GGA-PBE level of DFT.

```
TlTe3Pb2
1.0
-3.044 2.269 2.667
-4.528 -4.265 -1.539
5.654 -2.974 4.948
Tl Te Pb
1 3 2
direct
0.000 0.500 0.000
0.330 0.330 0.660
0.000 0.000 0.000
0.670 0.670 0.340
0.670 0.170 0.339
0.330 0.830 0.661
```

total magnetization = 0.000 μB/atom
space group = Immm (71)

The calculation returns the following DFT total energy values, one per record and in order: -22.7, -54.8, -16.5, -14.9, -35.5, -9.7, -30.7, -17.6, -29.7, -9.5, -32.7, -21.1 eV per cell.
The calculation returns the following E_form (uncorrected) values, one per record and in order: -0.02, -0.33, 0.60, 0.07, -0.16, -0.15, -0.26, 0.17, -0.03, -0.08, -0.33, -0.32 eV/atom.
The calculation returns the following DOS at the Fermi energy values, one per record and in order: 1.089, 0.494, 0.750, 0.864, 0.398, 0.610, 0.581, 0.686, 0.612, 0.397, 0.008, 0.493 states/eV per atom.